No. 1
# LuNi4Sb (PBE, relaxed)
# * electronic total energy: -5.66 eV/atom
# * size of the total moment: 0.0 μB/cell
# * formation energy (no corrections): -0.369 eV/atom
# * N(E_F): 17.985 states/eV per cell
data_LuNi4Sb
_chemical_formula_sum 'Lu4 Ni16 Sb4'
_cell_length_a 7.013
_cell_length_b 7.013
_cell_length_c 7.013
_cell_angle_alpha 90.00
_cell_angle_beta 90.00
_cell_angle_gamma 90.00
_space_group_name_H-M_alt 'F -4 3 m'
_space_group_IT_number 216
_space_group_name_Hall 'F -4 2 3'
loop_
_atom_site_label
_atom_site_type_symbol
_atom_site_fract_x
_atom_site_fract_y
_atom_site_fract_z
Lu1 Lu 0.000 0.000 0.000
Ni1 Ni 0.125 0.125 0.625
Sb1 Sb 0.250 0.250 0.250


No. 2
# LuSc2Ni (PBE, relaxed)
# * electronic total energy: -5.65 eV/atom
# * DFT formation energy: 91 meV per atom
# * size of the total moment: 0.0 μB/cell
# * polymorph energy (0 for the lowest one): 1.13 eV per formula unit
# * N(E_F): 19.542 states/eV per cell
data_LuSc2Ni
_chemical_formula_sum 'Lu3 Sc6 Ni3'
_cell_length_a 3.2987
_cell_length_b 3.2987
_cell_length_c 29.8241
_cell_angle_alpha 90.00
_cell_angle_beta 90.00
_cell_angle_gamma 120.00
_space_group_name_H-M_alt 'R -3 m'
_space_group_IT_number 166
_space_group_name_Hall '-R 3 2"'
loop_
_atom_site_label
_atom_site_type_symbol
_atom_site_fract_x
_atom_site_fract_y
_atom_site_fract_z
Lu1 Lu 0.0000 0.0000 0.0000
Sc1 Sc 0.0000 0.0000 0.1082
Ni1 Ni 0.0000 0.0000 0.5000


No. 3
# LuSc2Ni (PBE, relaxed)
# * electronic total energy: -5.93 eV/atom
# * DFT formation energy: -191 meV per atom
# * size of the total moment: 0.0 μB/cell
# * polymorph energy (0 for the lowest one): 0.00 eV per formula unit
# * N(E_F): 5.923 states/eV per cell
data_LuSc2Ni
_chemical_formula_sum 'Lu1 Sc2 Ni1'
_cell_length_a 3.245
_cell_length_b 3.245
_cell_length_c 8.162
_cell_angle_alpha 90.00
_cell_angle_beta 90.00
_cell_angle_gamma 90.00
_space_group_name_H-M_alt 'P 4/m m m'
_space_group_IT_number 123
_space_group_name_Hall '-P 4 2'
loop_
_atom_site_label
_atom_site_type_symbol
_atom_site_fract_x
_atom_site_fract_y
_atom_site_fract_z
Lu1 Lu 0.000 0.000 0.000
Sc1 Sc 0.500 0.500 0.314
Ni1 Ni 0.000 0.000 0.500


No. 4
# LuSc3Ni (PBE, relaxed)
# * electronic total energy: -5.91 eV/atom
# * DFT formation energy: -54 meV per atom
# * size of the total moment: 0.0 μB/cell
# * N(E_F): 7.407 states/eV per cell
data_LuSc3Ni
_chemical_formula_sum 'Lu1 Sc3 Ni1'
_cell_length_a 4.957
_cell_length_b 4.957
_cell_length_c 4.957
_cell_angle_alpha 90.00
_cell_angle_beta 90.00
_cell_angle_gamma 90.00
_space_group_name_H-M_alt 'P m -3 m'
_space_group_IT_number 221
_space_group_name_Hall '-P 4 2 3'
loop_
_atom_site_label
_atom_site_type_symbol
_atom_site_fract_x
_atom_site_fract_y
_atom_site_fract_z
Lu1 Lu 0.000 0.000 0.000
Sc1 Sc 0.000 0.500 0.500
Ni1 Ni 0.500 0.500 0.500


No. 5
# LuScSiNi (PBE, relaxed)
# * electronic total energy: -6.06 eV/atom
# * size of the total moment: 0.0 μB/cell
# * formation energy (no corrections): -0.544 eV/atom
# * N(E_F): 3.363 states/eV per cell
data_LuScSiNi
_chemical_formula_sum 'Lu4 Sc4 Si4 Ni4'
_cell_length_a 6.603
_cell_length_b 6.603
_cell_length_c 6.603
_cell_angle_alpha 90.00
_cell_angle_beta 90.00
_cell_angle_gamma 90.00
_space_group_name_H-M_alt 'F -4 3 m'
_space_group_IT_number 216
_space_group_name_Hall 'F -4 2 3'
loop_
_atom_site_label
_atom_site_type_symbol
_atom_site_fract_x
_atom_site_fract_y
_atom_site_fract_z
Lu1 Lu 0.000 0.000 0.000
Sc1 Sc 0.000 0.000 0.500
Si1 Si 0.250 0.250 0.250
Ni1 Ni 0.250 0.250 0.750


No. 6
# LuScNiSn (PBE, relaxed)
# * electronic total energy: -5.62 eV/atom
# * DFT formation energy: -459 meV per atom
# * size of the total moment: 0.0 μB/cell
# * N(E_F): 4.142 states/eV per cell
data_LuScNiSn
_chemical_formula_sum 'Lu4 Sc4 Ni4 Sn4'
_cell_length_a 6.915
_cell_length_b 6.915
_cell_length_c 6.915
_cell_angle_alpha 90.00
_cell_angle_beta 90.00
_cell_angle_gamma 90.00
_space_group_name_H-M_alt 'F -4 3 m'
_space_group_IT_number 216
_space_group_name_Hall 'F -4 2 3'
loop_
_atom_site_label
_atom_site_type_symbol
_atom_site_fract_x
_atom_site_fract_y
_atom_site_fract_z
Lu1 Lu 0.000 0.000 0.000
Sc1 Sc 0.000 0.000 0.500
Ni1 Ni 0.250 0.250 0.250
Sn1 Sn 0.250 0.250 0.750


No. 7
# LuScTcNi (PBE, relaxed)
# * electronic total energy: -7.02 eV/atom
# * DFT formation energy: -273 meV per atom
# * size of the total moment: 0.0 μB/cell
# * N(E_F): 11.831 states/eV per cell
data_LuScTcNi
_chemical_formula_sum 'Lu4 Sc4 Tc4 Ni4'
_cell_length_a 6.529
_cell_length_b 6.529
_cell_length_c 6.529
_cell_angle_alpha 90.00
_cell_angle_beta 90.00
_cell_angle_gamma 90.00
_space_group_name_H-M_alt 'F -4 3 m'
_space_group_IT_number 216
_space_group_name_Hall 'F -4 2 3'
loop_
_atom_site_label
_atom_site_type_symbol
_atom_site_fract_x
_atom_site_fract_y
_atom_site_fract_z
Lu1 Lu 0.000 0.000 0.000
Sc1 Sc 0.000 0.000 0.500
Tc1 Tc 0.250 0.250 0.750
Ni1 Ni 0.250 0.250 0.250


No. 8
# LuScTlNi (PBE, relaxed)
# * electronic total energy: -5.01 eV/atom
# * DFT formation energy: -259 meV per atom
# * size of the total moment: 0.0 μB/cell
# * N(E_F): 15.246 states/eV per cell
data_LuScTlNi
_chemical_formula_sum 'Lu4 Sc4 Tl4 Ni4'
_cell_length_a 6.954
_cell_length_b 6.954
_cell_length_c 6.954
_cell_angle_alpha 90.00
_cell_angle_beta 90.00
_cell_angle_gamma 90.00
_space_group_name_H-M_alt 'F -4 3 m'
_space_group_IT_number 216
_space_group_name_Hall 'F -4 2 3'
loop_
_atom_site_label
_atom_site_type_symbol
_atom_site_fract_x
_atom_site_fract_y
_atom_site_fract_z
Lu1 Lu 0.000 0.000 0.000
Sc1 Sc 0.000 0.000 0.500
Tl1 Tl 0.250 0.250 0.750
Ni1 Ni 0.250 0.250 0.250


No. 9
# LuScZnNi (PBE, relaxed)
# * electronic total energy: -4.87 eV/atom
# * DFT formation energy: -394 meV per atom
# * size of the total moment: 0.0 μB/cell
# * N(E_F): 11.157 states/eV per cell
data_LuScZnNi
_chemical_formula_sum 'Lu4 Sc4 Zn4 Ni4'
_cell_length_a 6.663
_cell_length_b 6.663
_cell_length_c 6.663
_cell_angle_alpha 90.00
_cell_angle_beta 90.00
_cell_angle_gamma 90.00
_space_group_name_H-M_alt 'F -4 3 m'
_space_group_IT_number 216
_space_group_name_Hall 'F -4 2 3'
loop_
_atom_site_label
_atom_site_type_symbol
_atom_site_fract_x
_atom_site_fract_y
_atom_site_fract_z
Lu1 Lu 0.000 0.000 0.000
Sc1 Sc 0.000 0.000 0.500
Zn1 Zn 0.250 0.250 0.750
Ni1 Ni 0.250 0.250 0.250


No. 10
# Lu2NiSe (PBE, relaxed)
# * electronic total energy: -5.43 eV/atom
# * size of the total moment: 0.0 μB/cell
# * formation energy (no corrections): -0.849 eV/atom
# * N(E_F): 1.851 states/eV per cell
data_Lu2NiSe
_chemical_formula_sum 'Lu2 Ni1 Se1'
_cell_length_a 3.417
_cell_length_b 3.417
_cell_length_c 6.921
_cell_angle_alpha 90.00
_cell_angle_beta 90.00
_cell_angle_gamma 90.00
_space_group_name_H-M_alt 'P 4/m m m'
_space_group_IT_number 123
_space_group_name_Hall '-P 4 2'
loop_
_atom_site_label
_atom_site_type_symbol
_atom_site_fract_x
_atom_site_fract_y
_atom_site_fract_z
Lu1 Lu 0.000 0.000 0.229
Ni1 Ni 0.500 0.500 0.000
Se1 Se 0.500 0.500 0.500


No. 11
# LuSi2Ni2 (PBE, relaxed)
# * electronic total energy: -6.23 eV/atom
# * size of the total moment: 0.0 μB/cell
# * formation energy (no corrections): -0.839 eV/atom
# * N(E_F): 7.823 states/eV per cell
data_LuSi2Ni2
_chemical_formula_sum 'Lu2 Si4 Ni4'
_cell_length_a 3.923
_cell_length_b 3.923
_cell_length_c 9.480
_cell_angle_alpha 90.00
_cell_angle_beta 90.00
_cell_angle_gamma 90.00
_space_group_name_H-M_alt 'I 4/m m m'
_space_group_IT_number 139
_space_group_name_Hall '-I 4 2'
loop_
_atom_site_label
_atom_site_type_symbol
_atom_site_fract_x
_atom_site_fract_y
_atom_site_fract_z
Lu1 Lu 0.000 0.000 0.000
Si1 Si 0.000 0.000 0.375
Ni1 Ni 0.000 0.500 0.250


No. 12
# Lu3Si2Ni6 (PBE, relaxed)
# * electronic total energy: -6.08 eV/atom
# * size of the total moment: 0.0 μB/cell
# * formation energy (no corrections): -0.705 eV/atom
# * N(E_F): 17.770 states/eV per cell
data_Lu3Si2Ni6
_chemical_formula_sum 'Lu12 Si8 Ni24'
_cell_length_a 8.667
_cell_length_b 8.667
_cell_length_c 8.667
_cell_angle_alpha 90.00
_cell_angle_beta 90.00
_cell_angle_gamma 90.00
_space_group_name_H-M_alt 'I m -3 m'
_space_group_IT_number 229
_space_group_name_Hall '-I 4 2 3'
loop_
_atom_site_label
_atom_site_type_symbol
_atom_site_fract_x
_atom_site_fract_y
_atom_site_fract_z
Lu1 Lu 0.000 0.000 0.286
Si1 Si 0.250 0.250 0.250
Ni1 Ni 0.000 0.330 0.330


No. 13
# LuSi2Ni (PBE, relaxed)
# * electronic total energy: -6.00 eV/atom
# * size of the total moment: 0.0 μB/cell
# * formation energy (no corrections): -0.715 eV/atom
# * N(E_F): 3.058 states/eV per cell
data_LuSi2Ni
_chemical_formula_sum 'Lu3 Si6 Ni3'
_cell_length_a 3.8627
_cell_length_b 3.8627
_cell_length_c 14.8566
_cell_angle_alpha 90.00
_cell_angle_beta 90.00
_cell_angle_gamma 120.00
_space_group_name_H-M_alt 'R -3 m'
_space_group_IT_number 166
_space_group_name_Hall '-R 3 2"'
loop_
_atom_site_label
_atom_site_type_symbol
_atom_site_fract_x
_atom_site_fract_y
_atom_site_fract_z
Lu1 Lu 0.0000 0.0000 0.0000
Si1 Si 0.0000 0.0000 0.2125
Ni1 Ni 0.0000 0.0000 0.5000


No. 14
# LuSiNi (PBE, relaxed)
# * electronic total energy: -6.04 eV/atom
# * size of the total moment: 0.0 μB/cell
# * formation energy (no corrections): -0.799 eV/atom
# * N(E_F): 2.184 states/eV per cell
data_LuSiNi
_chemical_formula_sum 'Lu1 Si1 Ni1'
_cell_length_a 4.0664
_cell_length_b 4.0664
_cell_length_c 3.5235
_cell_angle_alpha 90.00
_cell_angle_beta 90.00
_cell_angle_gamma 120.00
_space_group_name_H-M_alt 'P -6 m 2'
_space_group_IT_number 187
_space_group_name_Hall 'P -6 2'
loop_
_atom_site_label
_atom_site_type_symbol
_atom_site_fract_x
_atom_site_fract_y
_atom_site_fract_z
Lu1 Lu 0.0000 0.0000 0.0000
Si1 Si 0.6667 0.3333 0.5000
Ni1 Ni 0.3333 0.6667 0.5000


No. 15
# Lu2Si5Ni3 (PBE, relaxed)
# * electronic total energy: -6.11 eV/atom
# * size of the total moment: 0.0 μB/cell
# * formation energy (no corrections): -0.756 eV/atom
# * N(E_F): 13.917 states/eV per cell
data_Lu2Si5Ni3
_chemical_formula_sum 'Lu8 Si20 Ni12'
_cell_length_a 9.599
_cell_length_b 10.949
_cell_length_c 5.596
_cell_angle_alpha 90.00
_cell_angle_beta 90.00
_cell_angle_gamma 90.00
_space_group_name_H-M_alt 'I b a m'
_space_group_IT_number 72
_space_group_name_Hall '-I 2 2c'
loop_
_atom_site_label
_atom_site_type_symbol
_atom_site_fract_x
_atom_site_fract_y
_atom_site_fract_z
Lu1 Lu 0.235 0.132 0.000
Si1 Si 0.000 0.000 0.250
Si2 Si 0.000 0.266 0.250
Si3 Si 0.153 0.393 0.000
Ni1 Ni 0.000 0.500 0.250
Ni2 Ni 0.116 0.135 0.500


No. 16
# LuSi2Ni (PBE, relaxed)
# * electronic total energy: -6.08 eV/atom
# * size of the total moment: 0.0 μB/cell
# * formation energy (no corrections): -0.795 eV/atom
# * N(E_F): 2.917 states/eV per cell
data_LuSi2Ni
_chemical_formula_sum 'Lu2 Si4 Ni2'
_cell_length_a 3.885
_cell_length_b 3.891
_cell_length_c 8.550
_cell_angle_alpha 90.00
_cell_angle_beta 103.11
_cell_angle_gamma 90.00
_space_group_name_H-M_alt 'P 1 21/m 1'
_space_group_IT_number 11
_space_group_name_Hall '-P 2yb'
loop_
_atom_site_label
_atom_site_type_symbol
_atom_site_fract_x
_atom_site_fract_y
_atom_site_fract_z
Lu1 Lu 0.105 0.250 0.209
Si1 Si 0.250 0.750 0.500
Si2 Si 0.459 0.250 0.920
Ni1 Ni 0.326 0.250 0.651


No. 17
# TbLuSiNi (PBE, relaxed)
# * electronic total energy: -5.58 eV/atom
# * size of the total moment: 0.0 μB/cell
# * formation energy (no corrections): -0.488 eV/atom
# * N(E_F): 5.567 states/eV per cell
data_TbLuSiNi
_chemical_formula_sum 'Tb4 Lu4 Si4 Ni4'
_cell_length_a 6.845
_cell_length_b 6.845
_cell_length_c 6.845
_cell_angle_alpha 90.00
_cell_angle_beta 90.00
_cell_angle_gamma 90.00
_space_group_name_H-M_alt 'F -4 3 m'
_space_group_IT_number 216
_space_group_name_Hall 'F -4 2 3'
loop_
_atom_site_label
_atom_site_type_symbol
_atom_site_fract_x
_atom_site_fract_y
_atom_site_fract_z
Tb1 Tb 0.000 0.000 0.000
Lu1 Lu 0.000 0.000 0.500
Si1 Si 0.250 0.250 0.750
Ni1 Ni 0.250 0.250 0.250


No. 18
# SmLuNi2 (PBE, relaxed)
# * electronic total energy: -5.57 eV/atom
# * DFT formation energy: -369 meV per atom
# * size of the total moment: 0.0 μB/cell
# * polymorph energy (0 for the lowest one): 0.00 eV per formula unit
# * N(E_F): 16.897 states/eV per cell
data_SmLuNi2
_chemical_formula_sum 'Sm4 Lu4 Ni8'
_cell_length_a 6.758
_cell_length_b 6.758
_cell_length_c 6.758
_cell_angle_alpha 90.00
_cell_angle_beta 90.00
_cell_angle_gamma 90.00
_space_group_name_H-M_alt 'F m -3 m'
_space_group_IT_number 225
_space_group_name_Hall '-F 4 2 3'
loop_
_atom_site_label
_atom_site_type_symbol
_atom_site_fract_x
_atom_site_fract_y
_atom_site_fract_z
Sm1 Sm 0.000 0.000 0.000
Lu1 Lu 0.000 0.000 0.500
Ni1 Ni 0.250 0.250 0.250


No. 19
# SmLu2Ni (PBE, relaxed)
# * electronic total energy: -4.84 eV/atom
# * DFT formation energy: 45 meV per atom
# * size of the total moment: 0.0 μB/cell
# * polymorph energy (0 for the lowest one): 1.08 eV per formula unit
# * N(E_F): 19.499 states/eV per cell
data_SmLu2Ni
_chemical_formula_sum 'Sm3 Lu6 Ni3'
_cell_length_a 3.5155
_cell_length_b 3.5155
_cell_length_c 30.9835
_cell_angle_alpha 90.00
_cell_angle_beta 90.00
_cell_angle_gamma 120.00
_space_group_name_H-M_alt 'R -3 m'
_space_group_IT_number 166
_space_group_name_Hall '-R 3 2"'
loop_
_atom_site_label
_atom_site_type_symbol
_atom_site_fract_x
_atom_site_fract_y
_atom_site_fract_z
Sm1 Sm 0.0000 0.0000 0.0000
Lu1 Lu 0.0000 0.0000 0.1118
Ni1 Ni 0.0000 0.0000 0.5000


No. 20
# SmLuNi2 (PBE, relaxed)
# * electronic total energy: -5.57 eV/atom
# * DFT formation energy: -366 meV per atom
# * size of the total moment: 0.0 μB/cell
# * polymorph energy (0 for the lowest one): 0.01 eV per formula unit
# * N(E_F): 2.839 states/eV per cell
data_SmLuNi2
_chemical_formula_sum 'Sm1 Lu1 Ni2'
_cell_length_a 4.811
_cell_length_b 4.811
_cell_length_c 3.322
_cell_angle_alpha 90.00
_cell_angle_beta 90.00
_cell_angle_gamma 90.00
_space_group_name_H-M_alt 'P 4/m m m'
_space_group_IT_number 123
_space_group_name_Hall '-P 4 2'
loop_
_atom_site_label
_atom_site_type_symbol
_atom_site_fract_x
_atom_site_fract_y
_atom_site_fract_z
Sm1 Sm 0.000 0.000 0.000
Lu1 Lu 0.500 0.500 0.000
Ni1 Ni 0.000 0.500 0.500